P | # AlCu3Sn (PBE-GGA, relaxed)
# - theoretical density (g/cm3) = 5.85
data_AlCu3Sn
_space_group_name_H-M_alt 'P 1'
_space_group_IT_number 1
_cell_length_a 4.5706
_cell_length_b 4.5706
_cell_length_c 4.5706
_cell_angle_alpha 90.00
_cell_angle_beta 90.00
_cell_angle_gamma 90.00
loop_
_space_group_symop_operation_xyz
'x,y,z'
loop_
_atom_site_label
_atom_site_type_symbol
_atom_site_fract_x
_atom_site_fract_y
_atom_site_fract_z
_atom_site_occupancy
Sn1 Sn 0.5000 0.5000 0.5000 1
Cu1 Cu 0.0000 0.5000 0.0000 1
Cu2 Cu 0.0000 0.0000 0.5000 1
Cu3 Cu 0.5000 0.0000 0.0000 1
Al1 Al 0.0000 0.0000 0.0000 1

---

Q | # AlCu3Sn (PBE-GGA, relaxed)
# - theoretical density (g/cm3) = 4.85
data_AlCu3Sn
_space_group_name_H-M_alt 'P 1'
_space_group_IT_number 1
_cell_length_a 4.8651
_cell_length_b 4.8651
_cell_length_c 4.8651
_cell_angle_alpha 90.00
_cell_angle_beta 90.00
_cell_angle_gamma 90.00
loop_
_space_group_symop_operation_xyz
'x,y,z'
loop_
_atom_site_label
_atom_site_type_symbol
_atom_site_fract_x
_atom_site_fract_y
_atom_site_fract_z
_atom_site_occupancy
Sn1 Sn 0.0000 0.0000 0.0000 1
Cu1 Cu 0.0000 0.5000 0.0000 1
Cu2 Cu 0.0000 0.0000 0.5000 1
Cu3 Cu 0.5000 0.0000 0.0000 1
Al1 Al 0.5000 0.5000 0.5000 1

---

Stability check: which of them is most stable? P.

---

P | # Sr2Al2Cu (PBE-GGA, relaxed)
# - theoretical density (g/cm3) = 3.65
data_Sr2Al2Cu
_space_group_name_H-M_alt 'P 1'
_space_group_IT_number 1
_cell_length_a 5.6517
_cell_length_b 4.5199
_cell_length_c 6.3488
_cell_angle_alpha 69.15
_cell_angle_beta 63.57
_cell_angle_gamma 90.00
loop_
_space_group_symop_operation_xyz
'x,y,z'
loop_
_atom_site_label
_atom_site_type_symbol
_atom_site_fract_x
_atom_site_fract_y
_atom_site_fract_z
_atom_site_occupancy
Sr1 Sr 0.6904 0.1904 0.6192 1
Sr2 Sr 0.3096 0.8096 0.3808 1
Al1 Al 0.2346 0.5000 0.0000 1
Al2 Al 0.7654 0.5000 0.0000 1
Cu1 Cu 0.0000 0.0000 0.0000 1

---

Q | # Sr2Al2Cu (PBE-GGA, relaxed)
# - theoretical density (g/cm3) = 3.63
data_Sr2Al2Cu
_space_group_name_H-M_alt 'P 1'
_space_group_IT_number 1
_cell_length_a 7.1655
_cell_length_b 7.1655
_cell_length_c 5.2120
_cell_angle_alpha 90.00
_cell_angle_beta 90.00
_cell_angle_gamma 90.00
loop_
_space_group_symop_operation_xyz
'x,y,z'
loop_
_atom_site_label
_atom_site_type_symbol
_atom_site_fract_x
_atom_site_fract_y
_atom_site_fract_z
_atom_site_occupancy
Sr1 Sr 0.1736 0.6736 0.5000 1
Sr2 Sr 0.6736 0.8264 0.5000 1
Sr3 Sr 0.8264 0.3264 0.5000 1
Sr4 Sr 0.3264 0.1736 0.5000 1
Al1 Al 0.3643 0.8643 0.0000 1
Al2 Al 0.8643 0.6357 0.0000 1
Al3 Al 0.6357 0.1357 0.0000 1
Al4 Al 0.1357 0.3643 0.0000 1
Cu1 Cu 0.0000 0.0000 0.0000 1
Cu2 Cu 0.5000 0.5000 0.0000 1

---

Stability check: which of them is most stable? P.

---

P | # TaAl2Cu2 (PBE-GGA, relaxed)
# - theoretical density (g/cm3) = 8.34
data_TaAl2Cu2
_space_group_name_H-M_alt 'P 1'
_space_group_IT_number 1
_cell_length_a 7.2342
_cell_length_b 7.2342
_cell_length_c 2.7539
_cell_angle_alpha 90.00
_cell_angle_beta 90.00
_cell_angle_gamma 90.00
loop_
_space_group_symop_operation_xyz
'x,y,z'
loop_
_atom_site_label
_atom_site_type_symbol
_atom_site_fract_x
_atom_site_fract_y
_atom_site_fract_z
_atom_site_occupancy
Al1 Al 0.3626 0.8626 0.0000 1
Al2 Al 0.8626 0.6374 0.0000 1
Al3 Al 0.6374 0.1374 0.0000 1
Al4 Al 0.1374 0.3626 0.0000 1
Cu1 Cu 0.1598 0.6598 0.5000 1
Cu2 Cu 0.6598 0.8402 0.5000 1
Cu3 Cu 0.8402 0.3402 0.5000 1
Cu4 Cu 0.3402 0.1598 0.5000 1
Ta1 Ta 0.0000 0.0000 0.0000 1
Ta2 Ta 0.5000 0.5000 0.0000 1

---

Q | # TaAl2Cu2 (PBE-GGA, relaxed)
# - theoretical density (g/cm3) = 8.34
data_TaAl2Cu2
_space_group_name_H-M_alt 'P 1'
_space_group_IT_number 1
_cell_length_a 7.1874
_cell_length_b 7.1874
_cell_length_c 2.7917
_cell_angle_alpha 90.00
_cell_angle_beta 90.00
_cell_angle_gamma 90.00
loop_
_space_group_symop_operation_xyz
'x,y,z'
loop_
_atom_site_label
_atom_site_type_symbol
_atom_site_fract_x
_atom_site_fract_y
_atom_site_fract_z
_atom_site_occupancy
Al1 Al 0.1753 0.6753 0.5000 1
Al2 Al 0.6753 0.8247 0.5000 1
Al3 Al 0.8247 0.3247 0.5000 1
Al4 Al 0.3247 0.1753 0.5000 1
Cu1 Cu 0.3775 0.8775 0.0000 1
Cu2 Cu 0.8775 0.6225 0.0000 1
Cu3 Cu 0.6225 0.1225 0.0000 1
Cu4 Cu 0.1225 0.3775 0.0000 1
Ta1 Ta 0.0000 0.0000 0.0000 1
Ta2 Ta 0.5000 0.5000 0.0000 1

---

Stability check: which of them is most stable? Q.

---

P | # TbAl4Cu2 (PBE-GGA, relaxed)
# - theoretical density (g/cm3) = 5.60
data_TbAl4Cu2
_space_group_name_H-M_alt 'P 1'
_space_group_IT_number 1
_cell_length_a 4.1920
_cell_length_b 6.6011
_cell_length_c 16.8933
_cell_angle_alpha 90.00
_cell_angle_beta 90.00
_cell_angle_gamma 90.00
loop_
_space_group_symop_operation_xyz
'x,y,z'
loop_
_atom_site_label
_atom_site_type_symbol
_atom_site_fract_x
_atom_site_fract_y
_atom_site_fract_z
_atom_site_occupancy
Tb1 Tb 0.7500 0.9895 0.6380 1
Tb2 Tb 0.2500 0.0105 0.3620 1
Tb3 Tb 0.2500 0.4895 0.8620 1
Tb4 Tb 0.7500 0.5105 0.1380 1
Al1 Al 0.2500 0.2805 0.6928 1
Al2 Al 0.7500 0.7195 0.3072 1
Al3 Al 0.7500 0.7805 0.8072 1
Al4 Al 0.2500 0.2195 0.1928 1
Al5 Al 0.2500 0.6788 0.6864 1
Al6 Al 0.7500 0.3212 0.3136 1
Al7 Al 0.7500 0.1788 0.8136 1
Al8 Al 0.2500 0.8212 0.1864 1
Al9 Al 0.2500 0.1670 0.5325 1
Al10 Al 0.7500 0.8330 0.4675 1
Al11 Al 0.7500 0.6670 0.9675 1
Al12 Al 0.2500 0.3330 0.0325 1
Al13 Al 0.2500 0.4948 0.4275 1
Al14 Al 0.7500 0.5052 0.5725 1
Al15 Al 0.7500 0.9948 0.0725 1
Al16 Al 0.2500 0.0052 0.9275 1
Cu1 Cu 0.2500 0.7521 0.5391 1
Cu2 Cu 0.7500 0.2479 0.4609 1
Cu3 Cu 0.7500 0.2521 0.9609 1
Cu4 Cu 0.2500 0.7479 0.0391 1
Cu5 Cu 0.2500 0.9758 0.7804 1
Cu6 Cu 0.7500 0.0242 0.2196 1
Cu7 Cu 0.7500 0.4758 0.7196 1
Cu8 Cu 0.2500 0.5242 0.2804 1

---

Q | # TbAl4Cu2 (PBE-GGA, relaxed)
# - theoretical density (g/cm3) = 5.46
data_TbAl4Cu2
_space_group_name_H-M_alt 'P 1'
_space_group_IT_number 1
_cell_length_a 3.9759
_cell_length_b 4.0378
_cell_length_c 7.7255
_cell_angle_alpha 105.15
_cell_angle_beta 90.00
_cell_angle_gamma 90.00
loop_
_space_group_symop_operation_xyz
'x,y,z'
loop_
_atom_site_label
_atom_site_type_symbol
_atom_site_fract_x
_atom_site_fract_y
_atom_site_fract_z
_atom_site_occupancy
Tb1 Tb 0.0000 0.0000 0.0000 1
Al1 Al 0.5000 0.8202 0.6404 1
Al2 Al 0.0000 0.6823 0.3647 1
Al3 Al 0.5000 0.1798 0.3596 1
Al4 Al 0.0000 0.3177 0.6353 1
Cu1 Cu 0.5000 0.5812 0.1623 1
Cu2 Cu 0.5000 0.4188 0.8377 1

---

Stability check: which of them is most stable? P.

---

P | # Tb4Al3Cu (PBE-GGA, relaxed)
# - theoretical density (g/cm3) = 7.02
data_Tb4Al3Cu
_space_group_name_H-M_alt 'P 1'
_space_group_IT_number 1
_cell_length_a 3.4496
_cell_length_b 3.4496
_cell_length_c 15.5135
_cell_angle_alpha 90.00
_cell_angle_beta 90.00
_cell_angle_gamma 90.00
loop_
_space_group_symop_operation_xyz
'x,y,z'
loop_
_atom_site_label
_atom_site_type_symbol
_atom_site_fract_x
_atom_site_fract_y
_atom_site_fract_z
_atom_site_occupancy
Tb1 Tb 0.0000 0.0000 0.8856 1
Tb2 Tb 0.0000 0.0000 0.1144 1
Tb3 Tb 0.0000 0.0000 0.3709 1
Tb4 Tb 0.0000 0.0000 0.6291 1
Al1 Al 0.5000 0.5000 0.2413 1
Al2 Al 0.5000 0.5000 0.5000 1
Al3 Al 0.5000 0.5000 0.7587 1
Cu1 Cu 0.5000 0.5000 0.0000 1

---

Q | # Tb4Al3Cu (PBE-GGA, relaxed)
# - theoretical density (g/cm3) = 6.76
data_Tb4Al3Cu
_space_group_name_H-M_alt 'P 1'
_space_group_IT_number 1
_cell_length_a 3.6801
_cell_length_b 4.4903
_cell_length_c 11.6007
_cell_angle_alpha 90.00
_cell_angle_beta 90.00
_cell_angle_gamma 90.00
loop_
_space_group_symop_operation_xyz
'x,y,z'
loop_
_atom_site_label
_atom_site_type_symbol
_atom_site_fract_x
_atom_site_fract_y
_atom_site_fract_z
_atom_site_occupancy
Tb1 Tb 0.5000 0.5000 0.3386 1
Tb2 Tb 0.0000 0.5000 0.8568 1
Tb3 Tb 0.0000 0.0000 0.1483 1
Tb4 Tb 0.5000 0.0000 0.6574 1
Al1 Al 0.0000 0.5000 0.5656 1
Al2 Al 0.0000 0.0000 0.4320 1
Al3 Al 0.5000 0.0000 0.9358 1
Cu1 Cu 0.5000 0.5000 0.0655 1

---

Stability check: which of them is most stable? P.